Record 1
Entry from Alexandria via LeMat-Bulk: crystalline Li2GaSn3 at its relaxed geometry (GGA-PBE).

abc: 4.612 12.961 8.882
angles: 90.00 90.00 90.00
Space group Cmmm (No. 65)
Unique sites:
1 Li 0.000 0.000 0.000 x2
2 Li 0.000 0.000 0.500 x2
3 Li 0.000 0.333 0.000 x4
4 Ga 0.000 0.330 0.500 x4
5 Sn 0.000 0.166 0.236 x8
6 Sn 0.000 0.500 0.243 x4

Properties
The value obtained for the density is 5.50 g/cm3. Its formation energy is -0.1825 eV per atom. For the size of the total moment, the calculation gives 0.000 μB/atom. The total energy comes out at -3.326 eV/atom. The energy above the most stable polymorph in this dataset is 0.000 eV/atom.


Record 2
Entry from Alexandria via LeMat-Bulk: crystalline PmPr2NdBi4 at its relaxed geometry (GGA-PBE).

abc: 7.997 4.620 7.998
angles: 90.00 109.46 90.00
Space group P2/m (No. 10)
Unique sites:
1 Pm 0.000 0.000 0.000 x1
2 Pr 0.500 0.000 0.500 x1
3 Pr 0.500 0.500 0.000 x1
4 Nd 0.000 0.500 0.500 x1
5 Bi 0.247 0.000 0.750 x2
6 Bi 0.247 0.500 0.248 x2

Properties
The value obtained for the density is 8.39 g/cm3. Its formation energy is -0.9527 eV per atom. For the size of the total moment, the calculation gives 0.000 μB/atom. The total energy comes out at -5.278 eV/atom.


Record 3
Entry from Alexandria via LeMat-Bulk: crystalline NbFeC at its relaxed geometry (GGA-PBE).

abc: 5.444 5.724 8.733
angles: 90.00 90.00 90.00
Space group Fmmm (No. 69)
Unique sites:
1 Nb 0.250 0.000 0.250 x8
2 Fe 0.000 0.221 0.000 x8
3 C 0.221 0.000 0.500 x8

Properties
The value obtained for the density is 7.85 g/cm3. Its formation energy is 0.1216 eV per atom. For the size of the total moment, the calculation gives 0.000 μB/atom. The total energy comes out at -9.131 eV/atom.


Record 4
Entry from Alexandria via LeMat-Bulk: crystalline TaInFe2B at its relaxed geometry (GGA-PBE).

abc: 4.536 4.536 4.326
angles: 90.00 90.00 90.00
Space group P4/mmm (No. 123)
Unique sites:
1 Ta 0.000 0.000 0.000 x1
2 In 0.500 0.500 0.500 x1
3 Fe 0.000 0.500 0.000 x2
4 B 0.000 0.000 0.500 x1

Properties
The value obtained for the density is 7.80 g/cm3. Its formation energy is 1.5305 eV per atom. For the size of the total moment, the calculation gives 0.004 μB/atom. The total energy comes out at -6.108 eV/atom.


Record 5
Entry from Alexandria via LeMat-Bulk: crystalline La4Zn3 at its relaxed geometry (GGA-PBE).

abc: 3.793 3.793 27.803
angles: 90.00 90.00 90.00
Space group I4/mmm (No. 139)
Unique sites:
1 La 0.000 0.000 0.066 x4
2 La 0.000 0.000 0.339 x4
3 Zn 0.000 0.000 0.225 x4
4 Zn 0.000 0.000 0.500 x2

Properties
The value obtained for the density is 6.24 g/cm3. Its formation energy is -0.1387 eV per atom. For the size of the total moment, the calculation gives 0.175 μB/atom. The total energy comes out at -3.500 eV/atom. The energy above the most stable polymorph in this dataset is 0.052 eV/atom.


Record 6
Entry from Alexandria via LeMat-Bulk: crystalline Sm4SnTeSe2 at its relaxed geometry (GGA-PBE).

abc: 7.480 4.320 7.519
angles: 90.00 109.43 90.00
Space group P2/m (No. 10)
Unique sites:
1 Sm 0.232 0.000 0.236 x2
2 Sm 0.238 0.500 0.751 x2
3 Sn 0.500 0.000 0.000 x1
4 Te 0.500 0.500 0.500 x1
5 Se 0.000 0.000 0.500 x1
6 Se 0.000 0.500 0.000 x1

Properties
The value obtained for the density is 7.29 g/cm3. For the raw formation energy, the calculation gives -1460 meV/atom. For the size of the total moment, the calculation gives 0.000 μB/atom. The total energy comes out at -5.584 eV/atom.


Record 7
Entry from Alexandria via LeMat-Bulk: crystalline Dy3CuGeS7 at its relaxed geometry (GGA-PBE).

abc: 9.8614 9.8614 5.8482
angles: 90.00 90.00 120.00
Space group P6_3 (No. 173)
Unique sites:
1 Dy 0.1346 0.7770 0.0000 x6
2 Cu 0.0000 0.0000 0.4368 x2
3 Ge 0.3333 0.6667 0.5812 x2
4 S 0.0976 0.5199 0.7433 x6
5 S 0.1008 0.8412 0.4576 x6
6 S 0.3333 0.6667 0.2034 x2

Properties
The value obtained for the density is 5.72 g/cm3. For the raw formation energy, the calculation gives -1438 meV/atom. For the size of the total moment, the calculation gives 0.000 μB/atom. The total energy comes out at -5.722 eV/atom.


Record 8
Entry from Alexandria via LeMat-Bulk: crystalline BiMoCl3 at its relaxed geometry (GGA-PBE).

abc: 5.530 5.530 5.530
angles: 90.00 90.00 90.00
Space group Pm-3m (No. 221)
Unique sites:
1 Bi 0.000 0.000 0.000 x1
2 Mo 0.500 0.500 0.500 x1
3 Cl 0.000 0.000 0.500 x3

Properties
The value obtained for the density is 4.04 g/cm3. For the raw formation energy, the calculation gives 410 meV/atom. For the size of the total moment, the calculation gives 1.098 μB/atom. The total energy comes out at -3.640 eV/atom. The energy above the most stable polymorph in this dataset is 0.363 eV/atom.


Record 9
Entry from Alexandria via LeMat-Bulk: crystalline LaZnOs2 at its relaxed geometry (GGA-PBE).

abc: 2.939 2.939 8.325
angles: 90.00 90.00 90.00
Space group P4mm (No. 99)
Unique sites:
1 La 0.000 0.000 0.000 x1
2 Zn 0.500 0.500 0.698 x1
3 Os 0.000 0.000 0.487 x1
4 Os 0.500 0.500 0.297 x1

Properties
The value obtained for the density is 13.50 g/cm3. Its formation energy is 0.1607 eV per atom. For the size of the total moment, the calculation gives 0.000 μB/atom. The total energy comes out at -7.005 eV/atom.


Record 10
Entry from Alexandria via LeMat-Bulk: crystalline Sc3Co6P5 at its relaxed geometry (GGA-PBE).

abc: 3.601 11.272 8.910
angles: 90.00 90.00 90.00
Space group Pmmn (No. 59, origin choice 2)
Unique sites:
1 Sc 0.250 0.091 0.246 x4
2 Sc 0.250 0.750 0.261 x2
3 Co 0.250 0.056 0.596 x4
4 Co 0.250 0.250 0.485 x2
5 Co 0.250 0.250 0.982 x2
6 Co 0.250 0.582 0.010 x4
7 P 0.250 0.078 0.844 x4
8 P 0.250 0.631 0.527 x4
9 P 0.250 0.750 0.871 x2

Properties
The value obtained for the density is 5.91 g/cm3. Its formation energy is -0.9835 eV per atom. For the size of the total moment, the calculation gives 0.010 μB/atom. The total energy comes out at -7.318 eV/atom.


Record 11
Entry from Alexandria via LeMat-Bulk: crystalline EuTlIn4 at its relaxed geometry (GGA-PBE).

abc: 8.858 8.858 8.858
angles: 90.00 90.00 90.00
Space group F-43m (No. 216)
Unique sites:
1 Eu 0.000 0.000 0.000 x4
2 Tl 0.250 0.250 0.750 x4
3 In 0.125 0.125 0.375 x16

Properties
The value obtained for the density is 7.79 g/cm3. Its formation energy is -0.1833 eV per atom. For the size of the total moment, the calculation gives 1.181 μB/atom. The total energy comes out at -4.116 eV/atom.


Record 12
Entry from Alexandria via LeMat-Bulk: crystalline TmPaTl2 at its relaxed geometry (GGA-PBE).

abc: 4.880 4.880 4.502
angles: 90.00 90.00 90.00
Space group P4/mmm (No. 123)
Unique sites:
1 Tm 0.000 0.000 0.000 x1
2 Pa 0.500 0.500 0.000 x1
3 Tl 0.000 0.500 0.500 x2

Properties
The value obtained for the density is 12.52 g/cm3. Its formation energy is 0.0492 eV per atom. For the size of the total moment, the calculation gives 0.486 μB/atom. The total energy comes out at -4.626 eV/atom. The energy above the most stable polymorph in this dataset is 0.063 eV/atom.


Record 13
Entry from Alexandria via LeMat-Bulk: crystalline Ho3SbIr at its relaxed geometry (GGA-PBE).

abc: 14.873 4.911 8.726
angles: 90.00 122.56 90.00
Space group C2/m (No. 12)
Unique sites:
1 Ho 0.074 0.000 0.221 x4
2 Ho 0.098 0.500 0.791 x4
3 Ho 0.249 0.500 0.234 x4
4 Sb 0.147 0.500 0.486 x4
5 Ir 0.163 0.000 0.998 x4

Properties
The value obtained for the density is 10.00 g/cm3. For the raw formation energy, the calculation gives -784 meV/atom. For the size of the total moment, the calculation gives 0.000 μB/atom. The total energy comes out at -6.127 eV/atom.


Record 14
Entry from Alexandria via LeMat-Bulk: crystalline Fe3PSe at its relaxed geometry (GGA-PBE).

abc: 4.405 4.405 4.405
angles: 90.00 90.00 90.00
Space group Pm-3m (No. 221)
Unique sites:
1 Fe 0.000 0.000 0.500 x3
2 P 0.500 0.500 0.500 x1
3 Se 0.000 0.000 0.000 x1

Properties
The value obtained for the density is 5.39 g/cm3. For the raw formation energy, the calculation gives 908 meV/atom. For the size of the total moment, the calculation gives 1.444 μB/atom. The total energy comes out at -5.949 eV/atom. The energy above the most stable polymorph in this dataset is 0.529 eV/atom.


Record 15
Entry from Alexandria via LeMat-Bulk: crystalline MnSi2Mo at its relaxed geometry (GGA-PBE).

abc: 2.765 3.838 5.075
angles: 90.00 92.59 90.00
Space group P2/m (No. 10)
Unique sites:
1 Mn 0.000 0.000 0.000 x1
2 Si 0.050 0.500 0.746 x2
3 Mo 0.500 0.000 0.500 x1

Properties
The value obtained for the density is 6.39 g/cm3. For the raw formation energy, the calculation gives -155 meV/atom. For the size of the total moment, the calculation gives 0.382 μB/atom. The total energy comes out at -7.867 eV/atom.


Record 16
Entry from Alexandria via LeMat-Bulk: crystalline AgHgIr2Rh at its relaxed geometry (GGA-PBE).

abc: 4.722 4.722 5.113
angles: 90.00 90.00 90.00
Space group P4/mmm (No. 123)
Unique sites:
1 Ag 0.000 0.000 0.000 x1
2 Hg 0.500 0.500 0.000 x1
3 Ir 0.000 0.500 0.500 x2
4 Rh 0.500 0.500 0.500 x1

Properties
The value obtained for the density is 11.59 g/cm3. Its formation energy is 1.4307 eV per atom. For the size of the total moment, the calculation gives 0.000 μB/atom. The total energy comes out at -4.215 eV/atom.


Record 17
Entry from Alexandria via LeMat-Bulk: crystalline TbHfZnAu at its relaxed geometry (GGA-PBE).

abc: 6.967 6.967 6.967
angles: 90.00 90.00 90.00
Space group F-43m (No. 216)
Unique sites:
1 Tb 0.000 0.000 0.000 x4
2 Hf 0.000 0.000 0.500 x4
3 Zn 0.250 0.250 0.250 x4
4 Au 0.250 0.250 0.750 x4

Properties
The value obtained for the density is 11.78 g/cm3. Its formation energy is -0.3403 eV per atom. For the size of the total moment, the calculation gives 0.201 μB/atom. The total energy comes out at -5.124 eV/atom.


Record 18
Entry from Alexandria via LeMat-Bulk: crystalline Na2CrBOs at its relaxed geometry (GGA-PBE).

abc: 5.330 5.330 3.808
angles: 90.00 90.00 90.00
Space group P4/mmm (No. 123)
Unique sites:
1 Na 0.000 0.500 0.000 x2
2 Cr 0.000 0.000 0.000 x1
3 B 0.000 0.000 0.500 x1
4 Os 0.500 0.500 0.500 x1

Properties
The value obtained for the density is 4.59 g/cm3. Its formation energy is 2.0329 eV per atom. For the size of the total moment, the calculation gives 1.153 μB/atom. The total energy comes out at -4.001 eV/atom.


Record 19
Entry from Alexandria via LeMat-Bulk: crystalline TbCo2GeP at its relaxed geometry (GGA-PBE).

abc: 4.007 11.452 6.974
angles: 90.00 90.00 90.00
Space group Cmcm (No. 63)
Unique sites:
1 Tb 0.000 0.068 0.250 x4
2 Co 0.000 0.320 0.063 x8
3 Ge 0.000 0.224 0.750 x4
4 P 0.000 0.500 0.000 x4

Properties
The value obtained for the density is 7.90 g/cm3. Its formation energy is -0.6415 eV per atom. For the size of the total moment, the calculation gives 0.271 μB/atom. The total energy comes out at -6.415 eV/atom.


Record 20
Entry from Alexandria via LeMat-Bulk: crystalline Rb3Tb3ZrS8 at its relaxed geometry (GGA-PBE).

abc: 7.9958 7.9958 23.5103
angles: 90.00 90.00 120.00
Space group R-3m (No. 166, hexagonal axes)
Unique sites:
1 Rb 0.0000 0.5000 0.0000 x9
2 Tb 0.0000 0.5000 0.5000 x9
3 Zr 0.0000 0.0000 0.5000 x3
4 S 0.0000 0.0000 0.2306 x6
5 S 0.0171 0.5085 0.2282 x18

Properties
The value obtained for the density is 4.14 g/cm3. For the raw formation energy, the calculation gives -1807 meV/atom. For the size of the total moment, the calculation gives 0.000 μB/atom. The total energy comes out at -5.698 eV/atom.